The following is a DFT calculation (PBE) of a geometry-optimized ScNiSe2 structure.

```
ScNiSe2
1.0
-1.0042 4.8307 -4.0521
-3.1382 2.2720 -5.0748
-2.5026 1.2465 2.1033
Ni Sc Se
1 1 2
Cartesian
-3.6669 4.3875 -3.3257
-1.5781 2.3232 -2.5196
-4.3517 7.0825 -8.6397
-4.5133 5.8333 -5.1770
```

## Properties
The energy relative to the elements, uncorrected is -0.988 eV/atom. The volume is 18.72 Å³/atom. For the mass density, the calculation gives 5.80 g/cm3.